The following is a SCAN calculation of Zn2PW at its PBEsol-relaxed geometry, from Alexandria via LeMat-Bulk.

D(E_F) = 0.429 states/eV per atom
Calculated volume = 60.0 Å³/cell
ΔH_f (0 K) = 0.6 eV per formula unit

abc: 8.037 8.037 8.037
angles: 21.29 21.29 21.29
Positions (direct):
Zn 0.000 0.000 0.000
Zn 0.249 0.249 0.249
P 0.496 0.496 0.496
W 0.758 0.758 0.758